[1]
Computed, not measured: a relaxed structure of LaAg2W at the PBEsol level of DFT.

Unit cell a=2.918 b=5.284 c=10.241 alpha=90.00 beta=90.00 gamma=90.00
Space group Imm2 (No. 44)
Symmetry-distinct sites (fractional):
La1 0.000 0.000 0.000 (multiplicity 2)
Ag1 0.000 0.000 0.490 (multiplicity 2)
Ag2 0.000 0.500 0.223 (multiplicity 2)
W1 0.000 0.500 0.757 (multiplicity 2)

## Properties
The calculation puts the total moment at 0.00 μB per atom. As for the formation energy: 607 meV/atom. As for the polymorph energy (0 for the lowest one): 24 meV per atom. The density of states at the Fermi level comes out at 7.03 states/eV per cell. The volume is 19.7 A^3/atom. The crystal system is orthorhombic.

[2]
Computed, not measured: a relaxed structure of LaAg2W at the PBEsol level of DFT.

Unit cell a=4.224 b=4.224 c=4.381 alpha=90.00 beta=90.00 gamma=90.00
Space group P4/mmm (No. 123)
Symmetry-distinct sites (fractional):
La1 0.000 0.000 0.000 (multiplicity 1)
Ag1 0.000 0.500 0.500 (multiplicity 2)
W1 0.500 0.500 0.000 (multiplicity 1)

## Properties
The calculation puts the total moment at 0.00 μB per atom. As for the formation energy: 593 meV/atom. As for the polymorph energy (0 for the lowest one): 10 meV per atom. The density of states at the Fermi level comes out at 3.45 states/eV per cell. The volume is 19.5 A^3/atom. The crystal system is tetragonal.

Question: Look up the volume of the second one.
Answer: 19.5 A^3/atom